First-principles (PBE) data for a geometry-optimized DyInPb6 structure, as listed in Alexandria via LeMat-Bulk.

Output
* calculated density: 10.58 g/cm³
* symmetry: No. 123
* DFT total energy: -3.805 eV/atom

POSCAR file:
```
DyInPb6
1.0
4.8378 0.0000 0.0000
0.0000 4.8378 0.0000
0.0000 0.0000 10.1974
Dy In Pb
1 1 6
direct
0.0000 0.0000 0.0000
0.0000 0.0000 0.5000
0.0000 0.5000 0.2467
0.0000 0.5000 0.7533
0.5000 0.0000 0.2467
0.5000 0.0000 0.7533
0.5000 0.5000 0.0000
0.5000 0.5000 0.5000
```

***

First-principles (PBE) data for a geometry-optimized Dy4InPb2 structure, as listed in Alexandria via LeMat-Bulk.

Output
* calculated density: 9.70 g/cm³
* symmetry: No. 11
* DFT total energy: -4.409 eV/atom

POSCAR file:
```
Dy4InPb2
1.0
5.7419 0.0000 0.0000
0.0000 6.5763 0.0000
-2.1501 0.0000 10.6892
Dy In Pb
8 2 4
direct
0.1366 0.2500 0.1266
0.2581 0.7500 0.4453
0.3194 0.0091 0.7327
0.3194 0.4909 0.7327
0.6806 0.5091 0.2673
0.6806 0.9909 0.2673
0.7419 0.2500 0.5547
0.8634 0.7500 0.8734
0.0978 0.7500 0.1708
0.9022 0.2500 0.8292
0.2040 0.2500 0.4313
0.4196 0.7500 0.9973
0.5804 0.2500 0.0027
0.7960 0.7500 0.5687
```

***

First-principles (PBE) data for a geometry-optimized Dy6InPb structure, as listed in Alexandria via LeMat-Bulk.

Output
* calculated density: 9.48 g/cm³
* symmetry: No. 123
* DFT total energy: -4.537 eV/atom

POSCAR file:
```
Dy6InPb
1.0
4.8455 0.0000 0.0000
0.0000 4.8455 0.0000
0.0000 0.0000 9.6776
Dy In Pb
6 1 1
direct
0.0000 0.0000 0.0000
0.0000 0.0000 0.5000
0.0000 0.5000 0.2483
0.0000 0.5000 0.7517
0.5000 0.0000 0.2483
0.5000 0.0000 0.7517
0.5000 0.5000 0.0000
0.5000 0.5000 0.5000
```

***

First-principles (PBE) data for a geometry-optimized Dy8In2Pb structure, as listed in Alexandria via LeMat-Bulk.

Output
* calculated density: 9.10 g/cm³
* symmetry: No. 12
* DFT total energy: -4.443 eV/atom

POSCAR file:
```
Dy8In2Pb
1.0
8.5461 -2.4500 0.0000
8.5461 2.4500 0.0000
-2.8588 0.0000 7.5651
Dy In Pb
8 2 1
direct
0.0534 0.0534 0.2251
0.1433 0.1433 0.7032
0.3190 0.3190 0.5633
0.4039 0.4039 0.0448
0.5961 0.5961 0.9552
0.6810 0.6810 0.4367
0.8567 0.8567 0.2968
0.9466 0.9466 0.7749
0.2249 0.2249 0.1466
0.7751 0.7751 0.8534
0.5000 0.5000 0.5000
```

***

First-principles (PBE) data for a geometry-optimized Dy5In4Pb structure, as listed in Alexandria via LeMat-Bulk.

Output
* calculated density: 9.13 g/cm³
* symmetry: No. 123
* DFT total energy: -4.218 eV/atom

POSCAR file:
```
Dy5In4Pb
1.0
3.6021 0.0000 0.0000
0.0000 3.6021 0.0000
0.0000 0.0000 20.7253
Dy In Pb
5 4 1
direct
0.0000 0.0000 0.0000
0.0000 0.0000 0.1974
0.0000 0.0000 0.3958
0.0000 0.0000 0.6042
0.0000 0.0000 0.8026
0.5000 0.5000 0.0985
0.5000 0.5000 0.2962
0.5000 0.5000 0.7038
0.5000 0.5000 0.9015
0.5000 0.5000 0.5000
```

***

First-principles (PBE) data for a geometry-optimized Dy5InPb4 structure, as listed in Alexandria via LeMat-Bulk.

Output
* calculated density: 9.58 g/cm³
* symmetry: No. 79
* DFT total energy: -4.362 eV/atom

POSCAR file:
```
Dy5InPb4
1.0
-4.8905 4.8905 3.1807
4.8905 -4.8905 3.1807
4.8905 4.8905 -3.1807
Dy In Pb
5 1 4
direct
0.0000 0.0000 0.0000
0.0103 0.7899 0.4049
0.3850 0.6054 0.5951
0.6054 0.0103 0.2204
0.7899 0.3850 0.7796
0.5024 0.5024 0.0000
0.0956 0.4799 0.1770
0.3029 0.9186 0.8230
0.4799 0.3029 0.3844
0.9186 0.0956 0.6156
```

***

Please write out number 1 again, unchanged.
First-principles (PBE) data for a geometry-optimized DyInPb6 structure, as listed in Alexandria via LeMat-Bulk.

Output
* calculated density: 10.58 g/cm³
* symmetry: No. 123
* DFT total energy: -3.805 eV/atom

POSCAR file:
```
DyInPb6
1.0
4.8378 0.0000 0.0000
0.0000 4.8378 0.0000
0.0000 0.0000 10.1974
Dy In Pb
1 1 6
direct
0.0000 0.0000 0.0000
0.0000 0.0000 0.5000
0.0000 0.5000 0.2467
0.0000 0.5000 0.7533
0.5000 0.0000 0.2467
0.5000 0.0000 0.7533
0.5000 0.5000 0.0000
0.5000 0.5000 0.5000
```

***

Repeat the third record exactly.
First-principles (PBE) data for a geometry-optimized Dy6InPb structure, as listed in Alexandria via LeMat-Bulk.

Output
* calculated density: 9.48 g/cm³
* symmetry: No. 123
* DFT total energy: -4.537 eV/atom

POSCAR file:
```
Dy6InPb
1.0
4.8455 0.0000 0.0000
0.0000 4.8455 0.0000
0.0000 0.0000 9.6776
Dy In Pb
6 1 1
direct
0.0000 0.0000 0.0000
0.0000 0.0000 0.5000
0.0000 0.5000 0.2483
0.0000 0.5000 0.7517
0.5000 0.0000 0.2483
0.5000 0.0000 0.7517
0.5000 0.5000 0.0000
0.5000 0.5000 0.5000
```

***

- Among the records above, which one has the highest DFT total energy?
  DyInPb6